Entry 1:
Here is a geometry-optimized CuPbO2 structure from Alexandria. Energies are from PBE-GGA.

Values from the calculation:
Space group = No. 62
Volume = 15.55 A^3/atom
Formation energy without anion corrections = -0.77 eV per atom
Final energy = -5.199 eV/atom

Lattice parameters (Å, degrees): 3.9015 6.5403 9.7515 90.00 90.00 90.00
Fractional positions:
O  0.7500  0.7059  0.2768
O  0.7500  0.2059  0.2232
O  0.7500  0.5828  0.9191
O  0.2500  0.7941  0.7768
O  0.2500  0.4172  0.0809
O  0.7500  0.0828  0.5809
O  0.2500  0.9172  0.4191
O  0.2500  0.2941  0.7232
Pb  0.7500  0.4969  0.6773
Pb  0.2500  0.0031  0.1773
Pb  0.2500  0.5031  0.3227
Pb  0.7500  0.9969  0.8227
Cu  0.7500  0.3907  0.0721
Cu  0.7500  0.8907  0.4279
Cu  0.2500  0.6093  0.9279
Cu  0.2500  0.1093  0.5721

=====

Entry 2:
Here is a geometry-optimized La4Nd3Tm structure from Alexandria. Energies are from PBE-GGA.

Values from the calculation:
Space group = No. 12
Formation enthalpy at 0 K = 1 kJ per mole of atoms
Volume = 35.26 A^3/atom
Excess energy over the best structure of this formula in the dataset = 0 meV/atom
Final energy = -4.798 eV/atom

Lattice parameters (Å, degrees): 3.6916 6.3385 21.7475 145.89 94.87 90.00
Fractional positions:
Nd  0.0000  0.5000  0.0000
Nd  0.1217  0.8563  0.2433
Nd  0.8783  0.1437  0.7567
La  0.7496  0.7471  0.4991
La  0.6239  0.3720  0.2478
La  0.2504  0.2529  0.5009
La  0.3761  0.6280  0.7522
Tm  0.5000  0.0000  0.0000

=====

Entry 3:
Here is a geometry-optimized Ta3Cd structure from Alexandria. Energies are from PBE-GGA.

Values from the calculation:
Space group = No. 59
Formation enthalpy at 0 K = 29 kJ per mole of atoms
Volume = 18.92 A^3/atom
Excess energy over the best structure of this formula in the dataset = 188 meV/atom
Final energy = -8.814 eV/atom

Lattice parameters (Å, degrees): 4.8882 5.2226 5.9292 90.00 90.00 90.00
Fractional positions:
Ta  0.0000  0.8460  0.2492
Ta  0.5000  0.1540  0.2508
Ta  0.5000  0.1540  0.7492
Ta  0.5000  0.6904  0.0000
Ta  0.0000  0.8460  0.7508
Ta  0.0000  0.3096  0.5000
Cd  0.0000  0.3481  0.0000
Cd  0.5000  0.6519  0.5000

=====

Entry 4:
Here is a geometry-optimized InHgSe structure from Alexandria. Energies are from PBE-GGA.

Values from the calculation:
Space group = No. 156
Volume = 28.25 A^3/atom
Formation energy without anion corrections = 0.11 eV per atom
Excess energy over the best structure of this formula in the dataset = 310 meV/atom
Final energy = -2.063 eV/atom

Lattice parameters (Å, degrees): 3.3128 3.3128 8.9169 90.00 90.00 120.00
Fractional positions:
In  0.3333  0.6667  0.3734
Se  0.6667  0.3333  0.6319
Hg  0.0000  0.0000  0.9947

=====

Entry 5:
Here is a geometry-optimized Cd2Pd7Au3 structure from Alexandria. Energies are from PBE-GGA.

Values from the calculation:
Space group = No. 10
Formation enthalpy at 0 K = -5 kJ per mole of atoms
Volume = 17.64 A^3/atom
Excess energy over the best structure of this formula in the dataset = 0 meV/atom
Final energy = -4.053 eV/atom

Lattice parameters (Å, degrees): 2.8511 4.6441 15.9906 90.13 90.00 90.00
Fractional positions:
Pd  0.0000  0.3440  0.8544
Pd  0.5000  0.1596  0.1541
Pd  0.0000  0.6560  0.1456
Pd  0.0000  0.0000  0.0000
Pd  0.5000  0.8404  0.8459
Pd  0.5000  0.2504  0.5445
Pd  0.5000  0.7496  0.4555
Au  0.5000  0.5000  0.0000
Au  0.0000  0.7507  0.6157
Au  0.0000  0.2493  0.3843
Cd  0.5000  0.7499  0.2887
Cd  0.5000  0.2501  0.7113

=====

Entry 6:
Here is a geometry-optimized Ti3Sn5S12 structure from Alexandria. Energies are from PBE-GGA.

Values from the calculation:
Space group = No. 6
Volume = 23.06 A^3/atom
Formation energy without anion corrections = -0.80 eV per atom
Final energy = -5.459 eV/atom

Lattice parameters (Å, degrees): 3.6332 9.2011 13.7985 89.55 90.00 90.00
Fractional positions:
S  0.0000  0.2609  0.7939
S  0.0000  0.5046  0.3887
S  0.5000  0.9926  0.8971
S  0.0000  0.6879  0.9923
S  0.5000  0.4681  0.5999
S  0.5000  0.8301  0.4936
S  0.0000  0.7647  0.7191
S  0.5000  0.7514  0.2102
S  0.5000  0.2356  0.2819
S  0.0000  0.1783  0.5018
S  0.0000  0.0119  0.1026
S  0.5000  0.3149  0.0128
Ti  0.0000  0.1577  0.9550
Ti  0.5000  0.8490  0.0441
Ti  0.5000  0.3307  0.4399
Sn  0.0000  0.6507  0.5495
Sn  0.5000  0.4509  0.8405
Sn  0.0000  0.0414  0.3291
Sn  0.5000  0.9594  0.6759
Sn  0.0000  0.5593  0.1720

=====

Entry 7:
Here is a geometry-optimized Sm2Ga2Os2C structure from Alexandria. Energies are from PBE-GGA.

Values from the calculation:
Space group = No. 12
Formation enthalpy at 0 K = -45 kJ per mole of atoms
Volume = 18.56 A^3/atom
Final energy = -7.203 eV/atom

Lattice parameters (Å, degrees): 4.1002 5.9226 6.1793 72.68 70.62 69.75
Fractional positions:
Sm  0.5659  0.1613  0.7070
Sm  0.4341  0.8387  0.2930
Os  0.8015  0.3116  0.0853
Os  0.1985  0.6884  0.9147
Ga  0.1475  0.3925  0.3125
Ga  0.8525  0.6075  0.6875
C  0.0000  0.0000  0.0000

=====

Entry 8:
Here is a geometry-optimized Ba5PaO8 structure from Alexandria. Energies are from PBE-GGA.

Values from the calculation:
Space group = No. 82
Volume = 18.43 A^3/atom
Formation energy without anion corrections = -2.64 eV per atom
Final energy = -6.834 eV/atom

Lattice parameters (Å, degrees): 6.9482 6.9482 6.9482 110.46 107.52 110.46
Site moments in Bohr magnetons follow the coordinates.
Fractional positions:
O  0.5970  0.3946  0.8683  0.20
O  0.1367  0.6989  0.9634  0.01
O  0.5621  0.8267  0.8633  0.01
O  0.4737  0.6054  0.2024  0.20
O  0.0366  0.1733  0.7355  0.01
O  0.2645  0.3011  0.4379  0.01
O  0.1317  0.7287  0.5263  0.20
O  0.7976  0.2713  0.4030  0.20
Pa  0.2500  0.5000  0.7500  -0.02
Ba  0.9980  0.3763  0.1257  0.00
Ba  0.5000  0.0000  0.5000  0.01
Ba  0.3783  0.1277  0.0020  0.00
Ba  0.8743  0.8723  0.2506  0.00
Ba  0.7494  0.6237  0.6217  0.00